(1)
Computed, not measured: an optimized crystal structure of SrLuCuTe3 at the PBE level of DFT.

```
SrLuCuTe3
1.0
12.295 0.000 0.000
0.000 4.444 0.000
0.000 0.000 12.513
Sr Te Lu Cu
4 12 4 4
Direct
0.197 0.000 0.487
0.697 0.000 0.013
0.303 0.500 0.987
0.803 0.500 0.513
0.777 0.000 0.311
0.600 0.000 0.566
0.900 0.500 0.066
0.723 0.500 0.811
0.465 0.000 0.858
0.277 0.000 0.189
0.965 0.000 0.642
0.100 0.000 0.934
0.223 0.500 0.689
0.035 0.500 0.358
0.535 0.500 0.142
0.400 0.500 0.434
0.475 0.500 0.687
0.025 0.000 0.187
0.975 0.500 0.813
0.525 0.000 0.313
0.265 0.000 0.792
0.235 0.500 0.292
0.765 0.000 0.708
0.735 0.500 0.208
```

## Properties
SG	Pnma, No. 62
electronic total energy	-103.67	eV per cell
spin magnetization	0.0	Bohr magnetons per cell

***

(2)
Computed, not measured: an optimized crystal structure of SrLuCuTe3 at the PBE level of DFT.

```
SrLuCuTe3
1.0
11.272 0.000 0.000
0.000 4.311 0.000
0.000 0.000 14.464
Lu Te Sr Cu
4 12 4 4
Direct
0.978 0.750 0.755
0.478 0.750 0.745
0.522 0.250 0.255
0.022 0.250 0.245
0.455 0.750 0.116
0.268 0.250 0.329
0.577 0.750 0.395
0.545 0.250 0.884
0.077 0.750 0.105
0.045 0.250 0.616
0.732 0.750 0.671
0.768 0.250 0.171
0.955 0.750 0.384
0.232 0.750 0.829
0.923 0.250 0.895
0.423 0.250 0.605
0.228 0.750 0.507
0.728 0.750 0.993
0.772 0.250 0.493
0.272 0.250 0.007
0.243 0.250 0.719
0.743 0.250 0.781
0.257 0.750 0.219
0.757 0.750 0.281
```

## Properties
SG	Pnma, No. 62
electronic total energy	-105.46	eV per cell
spin magnetization	0.0	Bohr magnetons per cell

***

(3)
Computed, not measured: an optimized crystal structure of SrLuCuTe3 at the PBE level of DFT.

```
SrLuCuTe3
1.0
8.414 0.000 0.000
0.000 4.280 0.000
-2.890 0.000 10.068
Te Sr Lu Cu
6 2 2 2
Direct
0.746 0.250 0.954
0.573 0.250 0.356
0.254 0.750 0.046
0.936 0.750 0.661
0.064 0.250 0.339
0.427 0.750 0.644
0.237 0.250 0.799
0.763 0.750 0.201
0.689 0.250 0.660
0.311 0.750 0.340
0.073 0.250 0.085
0.927 0.750 0.915
```

## Properties
SG	P2_1/m, No. 11
electronic total energy	-52.61	eV per cell
spin magnetization	0.0	Bohr magnetons per cell